1.
A relaxed structure of PuCrTcGe. Source: Alexandria, functional PBE.

Summary:
formation enthalpy at 0 K: -0.13 eV per formula unit

Unit cell a=4.5038 b=4.5038 c=4.5038 alpha=60.00 beta=60.00 gamma=60.00
Last column: magnetic moment on the atom in μB.
Fractional positions:
Pu 0.5000 0.5000 0.5000  4.54
Cr 0.7500 0.7500 0.7500  -2.21
Ge 0.0000 0.0000 0.0000  0.01
Tc 0.2500 0.2500 0.2500  -0.32

2.
A relaxed structure of Cr4IrCl. Source: Alexandria, functional PBE.

Summary:
raw total energy: -7.464 eV per atom

Unit cell a=4.8223 b=4.8223 c=4.8223 alpha=60.00 beta=60.00 gamma=60.00
Fractional positions:
Cr 0.3746 0.8764 0.3746
Cr 0.3746 0.3746 0.8764
Cr 0.8764 0.3746 0.3746
Cr 0.3746 0.3746 0.3746
Cl 0.0000 0.0000 0.0000
Ir 0.7500 0.7500 0.7500

3.
A relaxed structure of ReSbRu2. Source: Alexandria, functional PBE.

Summary:
raw total energy: -8.327 eV per atom

Unit cell a=3.7861 b=4.0801 c=4.0801 alpha=90.00 beta=90.00 gamma=90.00
Fractional positions:
Ru 0.0000 0.5000 0.5000
Ru 0.0000 0.0000 0.0000
Sb 0.5000 0.5000 0.0000
Re 0.5000 0.0000 0.5000

4.
A relaxed structure of AlFeSeN2. Source: Alexandria, functional PBE.

Summary:
polymorph energy (0 for the lowest one): 0 meV/atom

Unit cell a=3.6185 b=3.6185 c=5.1969 alpha=90.00 beta=90.00 gamma=90.00
Fractional positions:
Se 0.0000 0.0000 0.5000
Al 0.5000 0.5000 0.5000
N 0.0000 0.5000 0.0000
N 0.5000 0.0000 0.0000
Fe 0.0000 0.0000 0.0000

5.
A relaxed structure of La2NbCrI. Source: Alexandria, functional PBE.

Summary:
raw total energy: -5.270 eV per atom

Unit cell a=5.2824 b=5.2824 c=4.9352 alpha=90.00 beta=90.00 gamma=90.00
Last column: magnetic moment on the atom in μB.
Fractional positions:
I 0.0000 0.0000 0.5000  0.01
Cr 0.0000 0.0000 0.0000  0.90
Nb 0.5000 0.5000 0.5000  -0.11
La 0.0000 0.5000 0.0000  -0.02
La 0.5000 0.0000 0.0000  -0.02

6.
A relaxed structure of PrTmCd. Source: Alexandria, functional PBE.

Summary:
formation enthalpy at 0 K: -0.57 eV per formula unit
polymorph energy (0 for the lowest one): 0 meV/atom

Unit cell a=3.6548 b=3.6548 c=7.0759 alpha=104.97 beta=104.97 gamma=90.00
Last column: magnetic moment on the atom in μB.
Fractional positions:
Pr 0.0061 0.0061 0.0121  0.13
Tm 0.3183 0.3183 0.6366  0.23
Cd 0.6756 0.6756 0.3513  0.00

| no. | DOS(E_F) (states/eV/atom) | ρ (g/cm3) |
| --- | --- | --- |
| 1 | 1.8452 | 11.99 |
| 2 | 1.1097 | 9.12 |
| 3 | 1.7983 | 13.44 |
| 4 | 0.6071 | 4.63 |
| 5 | 1.8587 | 6.63 |
| 6 | 1.2239 | 7.97 |